Here is a relaxed structure of HfTiAg2 from the Alexandria database. Energies are from PBE-GGA.

Cell: 4.745 4.745 4.745 Å, 60.00 60.00 60.00°
Each line ends with the local moment (μB).
Element x y z (fractional)
Ag: 0.750 0.750 0.750  0.06
Ag: 0.250 0.250 0.250  0.06
Ti: 0.000 0.000 0.000  1.02
Hf: 0.500 0.500 0.500  0.34

## Properties
Energy relative to the elements ... 0.1217 eV/atom
E above lowest polymorph ... 0.180 eV per atom
Space-group type ... Fm-3m (225)

***

Here is a relaxed structure of HfTiAg2 from the Alexandria database. Energies are from PBE-GGA.

Cell: 7.607 7.607 6.027 Å, 50.87 50.87 90.00°
Element x y z (fractional)
Ag: 0.375 0.390 0.750
Ag: 0.140 0.625 0.250
Ag: 0.610 0.125 0.250
Ag: 0.875 0.860 0.750
Ti: 0.250 0.750 0.500
Ti: 0.500 0.500 0.000
Hf: 0.750 0.250 0.500
Hf: 0.000 0.000 0.000

## Properties
Energy relative to the elements ... 0.4427 eV/atom
E above lowest polymorph ... 0.500 eV per atom
Space-group type ... I-42d (122)